# 1
An optimized crystal structure of Dy2YPuAs4. Source: the Alexandria database, functional PBE.

Summary:
* volume: 198 Å³ per cell
* formation enthalpy at 0 K: -1.403 eV/atom

```
data_Dy2YPuAs4
_chemical_formula_sum 'Dy2 Y1 Pu1 As4'
_symmetry_space_group_name_H-M 'P 1 2/m 1'
_symmetry_Int_Tables_number 10
_cell_length_a 7.1327
_cell_length_b 4.1310
_cell_length_c 7.1338
_cell_angle_alpha 90.00
_cell_angle_beta 109.46
_cell_angle_gamma 90.00
loop_
_symmetry_equiv_pos_as_xyz
'x,y,z'
'-x,-y,-z'
'-x,y,-z'
'x,-y,z'
loop_
_atom_site_label
_atom_site_fract_x
_atom_site_fract_y
_atom_site_fract_z
Dy1 0.0000 0.0000 0.0000
Dy2 0.5000 0.5000 0.0000
Y1 0.0000 0.5000 0.5000
Pu1 0.5000 0.0000 0.5000
As1 0.2511 0.0000 0.7499
As2 0.2513 0.5000 0.2509
```


# 2
An optimized crystal structure of AlTl3Ru. Source: the Alexandria database, functional PBE.

Summary:
* volume: 148 Å³ per cell
* formation enthalpy at 0 K: 0.510 eV/atom

```
data_AlTl3Ru
_chemical_formula_sum 'Al1 Tl3 Ru1'
_symmetry_space_group_name_H-M 'P m -3 m'
_symmetry_Int_Tables_number 221
_symmetry_space_group_name_Hall '-P 4 2 3'
_cell_length_a 5.2842
_cell_length_b 5.2842
_cell_length_c 5.2842
_cell_angle_alpha 90.00
_cell_angle_beta 90.00
_cell_angle_gamma 90.00
loop_
_atom_site_label
_atom_site_fract_x
_atom_site_fract_y
_atom_site_fract_z
Al1 0.0000 0.0000 0.0000
Tl1 0.0000 0.5000 0.5000
Ru1 0.5000 0.5000 0.5000
```


# 3
An optimized crystal structure of La2Ge5Ru. Source: the Alexandria database, functional PBE.

Summary:
* volume: 356 Å³ per cell
* formation enthalpy at 0 K: -0.512 eV/atom

```
data_La2Ge5Ru
_chemical_formula_sum 'La4 Ge10 Ru2'
_symmetry_space_group_name_H-M 'I 4 m m'
_symmetry_Int_Tables_number 107
_symmetry_space_group_name_Hall 'I 4 -2'
_cell_length_a 6.2044
_cell_length_b 6.2044
_cell_length_c 9.2585
_cell_angle_alpha 90.00
_cell_angle_beta 90.00
_cell_angle_gamma 90.00
loop_
_atom_site_label
_atom_site_fract_x
_atom_site_fract_y
_atom_site_fract_z
La1 0.0000 0.5000 0.0000
Ge1 0.0000 0.0000 0.4524
Ge2 0.2166 0.2166 0.2437
Ru1 0.0000 0.0000 0.7137
```


So what do the calculations give for VASP energy? Going down the list: -7.48 -3.51 -5.79 eV/atom.